[1]
The following is a PBE calculation of a relaxed ThSc2Hg crystal, from the Alexandria database.

Unit cell a=10.3267 b=10.3267 c=10.3267 alpha=19.16 beta=19.16 gamma=19.16
Closest atoms and distances in Å follow each position.
Positions (direct):
Th: 0.0000 0.0000 0.0000  6 Sc 3.41-3.43, 6 Th 3.44
Sc: 0.5747 0.5747 0.5747  3 Hg 3.03
Sc: 0.7580 0.7580 0.7580  3 Hg 3.02
Hg: 0.1661 0.1661 0.1661  6 Sc 3.02-3.03

- Relative energy among the computed polymorphs: 139 meV/atom
- Mass density: 8.4 g/cm3
- Space-group type: R3m (160)
- Formation enthalpy at 0 K: -0.10 eV/atom

---

[2]
The following is a PBE calculation of a relaxed BiBC2 crystal, from the Alexandria database.

Unit cell a=5.4974 b=5.4974 c=5.4974 alpha=130.30 beta=130.30 gamma=72.92
Closest atoms and distances in Å follow each position.
Positions (direct):
Bi: 0.0000 0.0000 0.0000  4 C 2.31
Bi: 0.7500 0.2500 0.5000  4 C 2.31
B: 0.2500 0.7500 0.5000  4 C 1.73
B: 0.5000 0.5000 0.0000  4 C 1.73
C: 0.2347 0.6250 0.1097  2 B 1.73
C: 0.3750 0.4847 0.6097  2 B 1.73
C: 0.5153 0.1250 0.8903  2 B 1.73
C: 0.8750 0.7653 0.3903  2 B 1.73

- Relative energy among the computed polymorphs: 0 meV/atom
- Mass density: 8.6 g/cm3
- Space-group type: I-42d (122)
- Formation enthalpy at 0 K: 1.07 eV/atom

---

[3]
The following is a PBE calculation of a relaxed Cr2NiSb crystal, from the Alexandria database.

Unit cell a=3.7904 b=3.7904 c=3.9330 alpha=90.00 beta=90.00 gamma=90.00
Closest atoms and distances in Å follow each position.
Positions (direct):
Cr: 0.0000 0.5000 0.0000  4 Cr 2.68, 4 Sb 2.73, 4 Ni 2.73
Cr: 0.5000 0.0000 0.0000  4 Cr 2.68, 4 Sb 2.73, 4 Ni 2.73
Ni: 0.0000 0.0000 0.5000  4 Sb 2.68, 8 Cr 2.73
Sb: 0.5000 0.5000 0.5000  4 Ni 2.68, 8 Cr 2.73

- Mass density: 8.4 g/cm3
- Space-group type: P4/mmm (123)
- Formation energy from raw total energies: 84 kJ/mol of formula units

---

[4]
The following is a PBE calculation of a relaxed LiRuSeI crystal, from the Alexandria database.

Unit cell a=3.8422 b=3.8422 c=8.8721 alpha=92.52 beta=92.52 gamma=50.72
Closest atoms and distances in Å follow each position.
Positions (direct):
Li: 0.0000 0.0000 0.0000  3 I 2.75-2.82, 2 Ru 2.92
Ru: 0.6439 0.6439 0.2526  3 Se 2.36-2.37
Se: 0.9565 0.9565 0.3696  3 Ru 2.36-2.37
I: 0.2857 0.2857 0.7961  3 Li 2.75-2.82

- Relative energy among the computed polymorphs: 220 meV/atom
- Mass density: 5.1 g/cm3
- Space-group type: Cm (8)
- Formation energy from raw total energies: -60 kJ/mol of formula units

---

[5]
The following is a PBE calculation of a relaxed NdDyB12 crystal, from the Alexandria database.

Unit cell a=4.1143 b=4.1143 c=8.2320 alpha=90.00 beta=90.00 gamma=90.00
Closest atoms and distances in Å follow each position.
Positions (direct):
Nd: 0.0000 0.0000 0.0000  24 B 3.02-3.03
Dy: 0.0000 0.0000 0.5000  24 B 3.01-3.02
B: 0.1993 0.5000 0.2518  5 B 1.64-1.76
B: 0.1993 0.5000 0.7482  5 B 1.64-1.76
B: 0.5000 0.1993 0.2518  5 B 1.64-1.76
B: 0.5000 0.1993 0.7482  5 B 1.64-1.76
B: 0.5000 0.5000 0.1003  5 B 1.65-1.76
B: 0.5000 0.5000 0.4012  5 B 1.63-1.74
B: 0.5000 0.5000 0.5988  5 B 1.63-1.74
B: 0.5000 0.5000 0.8997  5 B 1.65-1.76
B: 0.5000 0.8007 0.2518  5 B 1.64-1.76
B: 0.5000 0.8007 0.7482  5 B 1.64-1.76
B: 0.8007 0.5000 0.2518  5 B 1.64-1.76
B: 0.8007 0.5000 0.7482  5 B 1.64-1.76

- Mass density: 5.2 g/cm3
- Space-group type: P4/mmm (123)
- Formation enthalpy at 0 K: -0.44 eV/atom

---

[6]
The following is a PBE calculation of a relaxed Li5NdIn7 crystal, from the Alexandria database.

Unit cell a=7.4885 b=7.4885 c=7.4885 alpha=133.87 beta=99.11 gamma=98.54
Closest atoms and distances in Å follow each position.
Positions (direct):
Li: 0.0000 0.0000 0.0000  4 Li 2.86, 6 In 2.90-3.14
Li: 0.2272 0.2321 0.5042  7 In 2.82-3.06, 3 Li 2.86-2.99
Li: 0.2272 0.7230 0.9951  7 In 2.82-3.06, 3 Li 2.86-2.99
Li: 0.7279 0.2321 0.0049  7 In 2.82-3.06, 3 Li 2.86-2.99
Li: 0.7279 0.7230 0.4958  7 In 2.82-3.06, 3 Li 2.86-2.99
Nd: 0.2337 0.7337 0.5000  10 In 3.32-3.64
In: 0.0147 0.2177 0.7970  5 Li 2.82-2.96, 1 In 3.04
In: 0.4206 0.2177 0.2030  5 Li 2.82-2.96, 1 In 3.04
In: 0.4539 0.4539 0.0000  4 Li 2.84, 6 In 3.04-3.17
In: 0.5734 0.0734 0.5000  4 Li 3.00, 5 In 3.06-3.21, 1 Nd 3.32
In: 0.5792 0.7379 0.8414  5 Li 2.91-3.06, 4 In 3.08-3.23
In: 0.8865 0.3865 0.5000  6 Li 2.96-3.14, 1 In 3.06
In: 0.8965 0.7379 0.1586  5 Li 2.91-3.06, 4 In 3.08-3.23

- Mass density: 5.9 g/cm3
- Space-group type: Imm2 (44)
- Formation enthalpy at 0 K: -0.31 eV/atom

---

[7]
The following is a PBE calculation of a relaxed TcNi2Se crystal, from the Alexandria database.

Unit cell a=7.8952 b=7.8952 c=7.8952 alpha=20.89 beta=20.89 gamma=20.89
Closest atoms and distances in Å follow each position.
Positions (direct):
Tc: 0.0000 0.0000 0.0000  3 Se 2.56, 3 Ni 2.58, 6 Tc 2.86
Ni: 0.5018 0.5018 0.5018  3 Se 2.49, 3 Ni 2.54
Ni: 0.7521 0.7521 0.7521  3 Ni 2.54, 3 Tc 2.58
Se: 0.2488 0.2488 0.2488  3 Ni 2.49, 3 Tc 2.56

- Mass density: 8.9 g/cm3
- Space-group type: R3m (160)
- Formation energy from raw total energies: 109 kJ/mol of formula units